PBE-GGA Sn2Pd2Rh, relaxed; space group = Cmc2_1 (36); formation enthalpy at 0 K = -0.481 eV/atom; crystal system = orthorhombic
1.0
4.384 0.000 0.000
0.000 5.544 0.000
-2.192 0.000 7.249
Sn Pd Rh
4 4 2
Direct
0.211 0.372 0.421
0.436 0.527 0.872
0.564 0.027 0.128
0.789 0.872 0.579
0.976 0.799 0.952
0.024 0.299 0.048
0.827 0.384 0.654
0.173 0.884 0.346
0.372 0.053 0.745
0.628 0.553 0.255

PBE-GGA La4Nd9Hg11, relaxed; space group = Cmmm (65); formation enthalpy at 0 K = -0.394 eV/atom; crystal system = orthorhombic
1.0
-3.139 -0.598 -1.847
0.846 -13.785 3.027
-7.236 6.719 10.119
Nd Hg La
9 11 4
Direct
0.500 0.384 0.851
0.500 0.205 0.021
0.500 0.851 0.384
0.500 0.979 0.795
0.500 0.500 0.500
0.500 0.795 0.979
0.500 0.616 0.149
0.500 0.021 0.205
0.500 0.149 0.616
0.000 0.820 0.180
0.000 0.000 0.000
0.000 0.781 0.781
0.000 0.949 0.592
0.000 0.365 0.635
0.000 0.635 0.365
0.000 0.408 0.051
0.000 0.219 0.219
0.000 0.180 0.820
0.000 0.592 0.949
0.000 0.051 0.408
0.500 0.571 0.743
0.500 0.429 0.257
0.500 0.743 0.571
0.500 0.257 0.429

PBE-GGA LiNdTmPb, relaxed; space group = F-43m (216); formation enthalpy at 0 K = -0.267 eV/atom; crystal system = cubic
1.0
5.341 0.000 0.000
2.671 4.626 0.000
2.671 1.542 4.361
Tm Nd Li Pb
1 1 1 1
Direct
0.750 0.750 0.750
0.250 0.250 0.250
0.000 0.000 0.000
0.500 0.500 0.500